Compound: InHgPb
Source: Alexandria
Functional: SCAN
Structure: single point on PBEsol structure

Cell lengths 5.882, 5.882, 5.882 Å; angles 145.42, 137.53, 55.88 degrees
Element x y z (fractional)
In 0.000 0.000 0.000
Hg 0.351 0.351 0.000
Pb 0.680 0.680 0.000

Properties
Energy relative to the lowest polymorph listed for this composition   0.013 eV/atom
ΔH_f (0 K)   0.048 eV per atom
Fermi-level density of states   1.2 states/eV/f.u.